Computed, not measured: a relaxed ScSb2Mo crystal at the GGA-PBEsol level of DFT.

a = 3.4682 Å, b = 4.5604 Å, c = 5.8155 Å
α = 101.10°, β = 90.00°, γ = 112.35°
With the nearest neighbours (Å) after each atom.
Fractional positions:
Mo1 0.5000 0.0000 0.0000  6 Sb 2.76-2.77
Sb1 0.7602 0.5203 0.7794  3 Mo 2.76-2.77, 3 Sc 2.85-3.00
Sc1 0.0000 0.0000 0.5000  6 Sb 2.85-3.00
Sb2 0.2398 0.4797 0.2206  3 Mo 2.76-2.77, 3 Sc 2.85-3.00

Values from the calculation:
Distance to the lowest polymorph of the same formula = 0.0000 eV per atom
Energy relative to the elements, uncorrected = -145.7 meV per atom

---

Computed, not measured: a relaxed MnZnIr2 crystal at the GGA-PBEsol level of DFT.

a = 3.0419 Å, b = 4.1774 Å, c = 4.1774 Å
α = 90.00°, β = 90.00°, γ = 90.00°
With the nearest neighbours (Å) after each atom.
Fractional positions:
Ir1 0.0000 0.0000 0.5000  4 Mn 2.58, 4 Zn 2.58
Ir2 0.0000 0.5000 0.0000  4 Mn 2.58, 4 Zn 2.58
Zn1 0.5000 0.0000 0.0000  8 Ir 2.58
Mn1 0.5000 0.5000 0.5000  8 Ir 2.58

Values from the calculation:
E_tot = -0.289 Ha/atom

---

Computed, not measured: a relaxed SrTaIrSe2 crystal at the GGA-PBEsol level of DFT.

a = 5.2152 Å, b = 5.2152 Å, c = 5.3281 Å
α = 90.00°, β = 90.00°, γ = 90.00°
With the nearest neighbours (Å) after each atom.
Fractional positions:
Se1 0.0000 0.5000 0.0000  2 Sr 2.61
Sr1 0.0000 0.0000 0.0000  4 Se 2.61, 2 Ta 2.66
Ta1 0.0000 0.0000 0.5000  2 Sr 2.66
Ir1 0.5000 0.5000 0.5000  4 Ta 3.69, 8 Se 3.73
Se2 0.5000 0.0000 0.0000  2 Sr 2.61

Values from the calculation:
Energy relative to the elements, uncorrected = 2438.2 meV per atom

---

Number 1: calculated density 7.67 Mg/m³. Number 2: calculated density 15.79 Mg/m³. Number 3: calculated density 7.09 Mg/m³.